[1]
This record from Alexandria describes a relaxed CaNi2Ag crystal. The functional is PBE.

a = 7.5346 Å, b = 4.3572 Å, c = 5.3834 Å
α = 90.00°, β = 118.20°, γ = 90.00°
Last column: nearest neighbours and their distance in Å.
Space group C2/m (No. 12)
Inequivalent atoms, fractional coordinates:
1 Ca 0.0000 0.0000 0.0000 [2 per cell]  2 Ni 2.66
2 Ni 0.1867 0.0000 0.5608 [4 per cell]  3 Ag 2.53, 3 Ni 2.57-2.58, 1 Ca 2.66
3 Ag 0.0000 0.5000 0.5000 [2 per cell]  6 Ni 2.53

Calculated values
formation enthalpy at 0 K = 2 kJ per mole of atoms

[2]
This record from Alexandria describes a relaxed Ca3NiAg crystal. The functional is PBE.

a = 5.3402 Å, b = 5.3402 Å, c = 5.3402 Å
α = 90.00°, β = 90.00°, γ = 90.00°
Last column: nearest neighbours and their distance in Å.
Space group Pm-3m (No. 221)
Inequivalent atoms, fractional coordinates:
1 Ca 0.0000 0.0000 0.5000 [3 per cell]  2 Ni 2.67
2 Ni 0.0000 0.0000 0.0000 [1 per cell]  6 Ca 2.67
3 Ag 0.5000 0.5000 0.5000 [1 per cell]  12 Ca 3.78

Calculated values
formation enthalpy at 0 K = -2 kJ per mole of atoms

[3]
This record from Alexandria describes a relaxed CaNi2Ag crystal. The functional is PBE.

a = 4.1849 Å, b = 4.1849 Å, c = 7.5353 Å
α = 90.00°, β = 90.00°, γ = 90.00°
Last column: nearest neighbours and their distance in Å.
Space group I4/mmm (No. 139)
Inequivalent atoms, fractional coordinates:
1 Ca 0.0000 0.0000 0.0000 [2 per cell]  8 Ni 2.82, 4 Ag 2.96
2 Ni 0.0000 0.5000 0.2500 [4 per cell]  4 Ca 2.82, 4 Ag 2.82, 4 Ni 2.96
3 Ag 0.0000 0.0000 0.5000 [2 per cell]  8 Ni 2.82, 4 Ca 2.96

Calculated values
formation enthalpy at 0 K = 14 kJ per mole of atoms

[4]
This record from Alexandria describes a relaxed CaNiAg crystal. The functional is PBE.

a = 6.4030 Å, b = 6.4030 Å, c = 6.4030 Å
α = 90.00°, β = 90.00°, γ = 90.00°
Last column: nearest neighbours and their distance in Å.
Space group F-43m (No. 216)
Inequivalent atoms, fractional coordinates:
1 Ca 0.0000 0.0000 0.0000 [4 per cell]  4 Ni 2.77
2 Ni 0.2500 0.2500 0.2500 [4 per cell]  4 Ca 2.77, 4 Ag 2.77
3 Ag 0.0000 0.0000 0.5000 [4 per cell]  4 Ni 2.77

Calculated values
formation enthalpy at 0 K = 7 kJ per mole of atoms

[5]
This record from Alexandria describes a relaxed CaNi2Ag crystal. The functional is PBE.

a = 3.1801 Å, b = 3.1801 Å, c = 6.7748 Å
α = 90.00°, β = 90.00°, γ = 90.00°
Last column: nearest neighbours and their distance in Å.
Space group P4mm (No. 99)
Inequivalent atoms, fractional coordinates:
1 Ca 0.0000 0.0000 0.0000 [1 per cell]  5 Ni 2.90-2.96, 4 Ag 3.17, 4 Ca 3.18
2 Ni 0.0000 0.0000 0.4285 [1 per cell]  4 Ni 2.45
3 Ni 0.5000 0.5000 0.2841 [1 per cell]  4 Ni 2.45, 1 Ag 2.61
4 Ag 0.5000 0.5000 0.6695 [1 per cell]  5 Ni 2.61-2.78

Calculated values
formation enthalpy at 0 K = 11 kJ per mole of atoms

[6]
This record from Alexandria describes a relaxed CaNi2Ag crystal. The functional is PBE.

a = 6.4069 Å, b = 6.4069 Å, c = 6.4069 Å
α = 90.00°, β = 90.00°, γ = 90.00°
Last column: nearest neighbours and their distance in Å.
Space group Fm-3m (No. 225)
Inequivalent atoms, fractional coordinates:
1 Ca 0.0000 0.0000 0.0000 [4 per cell]  8 Ni 2.77
2 Ni 0.2500 0.2500 0.2500 [8 per cell]  4 Ca 2.77, 4 Ag 2.77
3 Ag 0.0000 0.0000 0.5000 [4 per cell]  8 Ni 2.77

Calculated values
formation enthalpy at 0 K = 14 kJ per mole of atoms

[7]
This record from Alexandria describes a relaxed CaNiAg crystal. The functional is PBE.

a = 6.5983 Å, b = 6.5983 Å, c = 6.5983 Å
α = 90.00°, β = 90.00°, γ = 90.00°
Last column: nearest neighbours and their distance in Å.
Space group F-43m (No. 216)
Inequivalent atoms, fractional coordinates:
1 Ca 0.0000 0.0000 0.0000 [4 per cell]  4 Ni 2.86, 4 Ag 2.86
2 Ni 0.2500 0.2500 0.2500 [4 per cell]  4 Ca 2.86
3 Ag 0.2500 0.2500 0.7500 [4 per cell]  4 Ca 2.86

Calculated values
formation enthalpy at 0 K = 51 kJ per mole of atoms

[8]
This record from Alexandria describes a relaxed Ca2Ni2Ag crystal. The functional is PBE.

a = 6.9815 Å, b = 6.9815 Å, c = 4.1474 Å
α = 90.00°, β = 90.00°, γ = 90.00°
Last column: nearest neighbours and their distance in Å.
Space group P4/mbm (No. 127)
Inequivalent atoms, fractional coordinates:
1 Ca 0.1787 0.3213 0.0000 [4 per cell]  6 Ni 2.89-2.96
2 Ni 0.1180 0.6180 0.5000 [4 per cell]  1 Ni 2.33
3 Ag 0.0000 0.0000 0.5000 [2 per cell]  4 Ni 2.79

Calculated values
formation enthalpy at 0 K = -11 kJ per mole of atoms

[9]
This record from Alexandria describes a relaxed CaNi2Ag crystal. The functional is PBE.

a = 4.0084 Å, b = 4.0084 Å, c = 8.2302 Å
α = 90.00°, β = 90.00°, γ = 90.00°
Last column: nearest neighbours and their distance in Å.
Space group I-4m2 (No. 119)
Inequivalent atoms, fractional coordinates:
1 Ca 0.0000 0.0000 0.0000 [2 per cell]  8 Ni 2.83-2.87, 4 Ag 2.87
2 Ni 0.0000 0.0000 0.5000 [2 per cell]  4 Ca 2.83, 4 Ni 2.87, 4 Ag 2.87
3 Ni 0.0000 0.5000 0.7500 [2 per cell]  4 Ag 2.83, 4 Ca 2.87, 4 Ni 2.87
4 Ag 0.0000 0.5000 0.2500 [2 per cell]  8 Ni 2.83-2.87, 4 Ca 2.87

Calculated values
formation enthalpy at 0 K = 15 kJ per mole of atoms

[10]
This record from Alexandria describes a relaxed CaNi2Ag crystal. The functional is PBE.

a = 2.9665 Å, b = 2.9665 Å, c = 26.2619 Å
α = 90.00°, β = 90.00°, γ = 120.00°
Last column: nearest neighbours and their distance in Å.
Space group R-3m (No. 166, hexagonal axes)
Inequivalent atoms, fractional coordinates:
1 Ca 0.0000 0.0000 0.0000 [3 per cell]  6 Ni 2.83, 6 Ca 2.97
2 Ni 0.0000 0.0000 0.2475 [6 per cell]  3 Ag 2.73, 3 Ca 2.83, 6 Ni 2.97
3 Ag 0.0000 0.0000 0.5000 [3 per cell]  6 Ni 2.73, 6 Ag 2.97

Calculated values
formation enthalpy at 0 K = 45 kJ per mole of atoms

[11]
This record from Alexandria describes a relaxed Ca2Ni2Ag crystal. The functional is PBE.

a = 5.4232 Å, b = 5.4232 Å, c = 7.4682 Å
α = 90.00°, β = 90.00°, γ = 90.00°
Last column: nearest neighbours and their distance in Å.
Space group I4/mmm (No. 139)
Inequivalent atoms, fractional coordinates:
1 Ca 0.0000 0.5000 0.2500 [4 per cell]  4 Ni 2.81
2 Ni 0.0000 0.0000 0.1521 [4 per cell]  1 Ni 2.27
3 Ag 0.0000 0.0000 0.5000 [2 per cell]  2 Ni 2.60

Calculated values
formation enthalpy at 0 K = 6 kJ per mole of atoms

[12]
This record from Alexandria describes a relaxed CaNiAg crystal. The functional is PBE.

a = 3.2693 Å, b = 3.6741 Å, c = 9.8264 Å
α = 90.00°, β = 90.00°, γ = 90.00°
Last column: nearest neighbours and their distance in Å.
Space group Imm2 (No. 44)
Inequivalent atoms, fractional coordinates:
1 Ca 0.0000 0.0000 0.0000 [2 per cell]  5 Ag 2.94-3.15, 5 Ni 3.06-3.10, 2 Ca 3.27
2 Ni 0.0000 0.0000 0.3150 [2 per cell]  4 Ag 2.70
3 Ag 0.0000 0.0000 0.7007 [2 per cell]  4 Ni 2.70, 1 Ca 2.94

Calculated values
formation enthalpy at 0 K = 3 kJ per mole of atoms

Number 1: spin magnetization 0.5 Bohr magnetons per cell, mass density 5.66 g/cm³. Number 2: spin magnetization 0.0 Bohr magnetons per cell, mass density 3.13 g/cm³. Number 3: spin magnetization 0.0 Bohr magnetons per cell, mass density 6.68 g/cm³. Number 4: spin magnetization 0.0 Bohr magnetons per cell, mass density 5.23 g/cm³. Number 5: spin magnetization 0.8 Bohr magnetons per cell, mass density 6.43 g/cm³. Number 6: spin magnetization 0.0 Bohr magnetons per cell, mass density 6.70 g/cm³. Number 7: spin magnetization 0.0 Bohr magnetons per cell, mass density 4.78 g/cm³. Number 8: spin magnetization 0.0 Bohr magnetons per cell, mass density 5.02 g/cm³. Number 9: spin magnetization 0.4 Bohr magnetons per cell, mass density 6.66 g/cm³. Number 10: spin magnetization 0.0 Bohr magnetons per cell, mass density 6.60 g/cm³. Number 11: spin magnetization 0.0 Bohr magnetons per cell, mass density 4.62 g/cm³. Number 12: spin magnetization 0.0 Bohr magnetons per cell, mass density 5.81 g/cm³.